[1]
Sb2TeMoPb: relaxed, PBE.

extended XYZ file:
```
5
Lattice="5.1851 0.0000 0.0000 0.0000 5.1851 0.0000 0.0000 0.0000 5.7031" Properties=species:S:1:pos:R:3 pbc="T T T"
Mo 0.0000 0.0000 0.0000
Sb 0.0000 2.5926 0.0000
Sb 2.5926 0.0000 0.0000
Pb 2.5926 2.5926 2.8516
Te 0.0000 0.0000 2.8516
```

Computed properties:
The raw formation energy comes out at 42.3 kJ per mole of atoms. The density of states at the Fermi level is 5.716 states/eV/f.u. The calculation puts the excess energy over the best structure of this formula in the dataset at 0.0 meV/atom. The space group is No. 123.

=====

[2]
CsRbH6Pt: relaxed, PBE.

extended XYZ file:
```
9
Lattice="6.1404 0.0001 -0.0001 3.0703 5.3178 0.0001 0.0001 -0.0003 5.3862" Properties=species:S:1:pos:R:3 pbc="T T T"
H 3.6967 2.9277 1.6912
H 2.3830 0.6524 3.6949
H 3.7574 0.6523 1.6912
H 2.4437 2.9277 3.6949
H 1.7565 1.7374 1.6912
H 4.3839 1.7375 3.6949
Rb 6.1404 3.5451 2.6931
Pt 3.0702 1.7725 2.6929
Cs 6.1404 -0.0002 5.3861
```

Computed properties:
The density of states at the Fermi level is 0.000 states/eV/f.u. The value obtained for the total energy is -30.9 eV for the cell shown. The space group is No. 149.

=====

[3]
LiErRhF6: relaxed, PBE.

extended XYZ file:
```
18
Lattice="-0.9658 5.3515 0.5018 -1.0165 -2.5260 -4.7339 -8.6838 -1.8338 2.8431" Properties=species:S:1:pos:R:3 pbc="T T T"
Li 0.0000 0.0000 0.0000
Li -4.3419 -0.9169 1.4215
F -8.2893 -3.2955 -0.6971
F -9.2657 -0.5340 -1.8982
F -2.4134 1.6793 -2.4861
F -1.4003 1.5257 0.5093
F -2.3767 4.2873 -0.6918
F -8.2526 -0.6875 1.0971
F -5.7587 -1.9646 0.2204
F -4.9073 2.9564 -1.6093
F -6.7554 0.7466 -1.0751
F -6.7526 -1.9177 -2.7850
F -3.9106 0.2452 -0.3139
F -3.9134 2.9095 1.3961
Er -7.4955 1.3504 0.8889
Er -3.1705 -0.3586 -2.2779
Rh -7.5124 -1.2755 -0.8563
Rh -3.1536 2.2672 -0.5326
```

Computed properties:
The raw formation energy comes out at -264.2 kJ per mole of atoms. The density of states at the Fermi level is 6.960 states/eV/f.u. The space group is No. 163.

=====

[4]
Ca2HPd4: relaxed, PBE.

extended XYZ file:
```
7
Lattice="-0.0058 -2.1060 3.6313 0.6145 -3.5926 -2.0825 7.3112 -1.9572 1.3029" Properties=species:S:1:pos:R:3 pbc="T T T"
Pd -0.0029 -1.0530 1.8157
Pd 2.5041 -5.4572 1.6918
Pd 0.3072 -1.7963 -1.0413
Pd 5.4158 -2.1985 1.1600
Ca 5.4547 -5.0816 1.9143
Ca 2.4652 -2.5742 0.9374
H 0.0000 0.0000 0.0000
```

Computed properties:
The density of states at the Fermi level is 2.483 states/eV/f.u. The value obtained for the total energy is -31.4 eV for the cell shown. The space group is No. 139.

=====

[5]
TiSbI2Br: relaxed, PBE.

extended XYZ file:
```
5
Lattice="5.3434 0.0000 0.0000 0.0000 5.3434 0.0000 0.0000 0.0000 5.5957" Properties=species:S:1:pos:R:3 pbc="T T T"
Sb 0.0000 0.0000 2.7978
Br 2.6717 2.6717 2.7978
Ti 0.0000 0.0000 0.0000
I 0.0000 2.6717 0.0000
I 2.6717 0.0000 0.0000
```

Computed properties:
The raw formation energy comes out at -13.5 kJ per mole of atoms. The density of states at the Fermi level is 3.329 states/eV/f.u. The calculation puts the excess energy over the best structure of this formula in the dataset at 0.0 meV/atom. The space group is No. 123.

=====

[6]
MgZn2Co: relaxed, PBE.

extended XYZ file:
```
4
Lattice="-2.0088 -3.7218 -0.4528 2.3362 -1.1679 -0.7649 1.6816 -1.4608 4.5460" Properties=species:S:1:pos:R:3 pbc="T T T"
Zn -0.1906 -2.4360 0.8906
Zn 2.0000 -1.6177 4.4233
Co 1.9077 -1.2484 1.7979
Mg 1.9825 -3.8234 2.6529
```

Computed properties:
For the energy of formation from the pure elements, the calculation gives 0.05 eV/atom. The density of states at the Fermi level is 2.465 states/eV/f.u. The space group is No. 6.

=====

[7]
Ca2PrPaAs4: relaxed, PBE.

extended XYZ file:
```
8
Lattice="-1.5691 -2.9640 -2.6283 6.8156 -1.6849 -2.1688 -1.8151 -4.1126 5.7214" Properties=species:S:1:pos:R:3 pbc="T T T"
Ca -1.6921 -3.5383 1.5465
Ca 2.5003 -2.8987 1.7763
As 0.3685 -2.8288 -0.4837
As 0.2344 -3.5317 3.8428
As 3.0629 -5.9326 1.4080
As 4.7662 -2.2657 -0.2902
Pr 2.6233 -2.3244 -2.3986
Pa 0.0000 0.0000 0.0000
```

Computed properties:
For the energy of formation from the pure elements, the calculation gives -1.26 eV/atom. The density of states at the Fermi level is 0.000 states/eV/f.u. The space group is No. 10.

=====

[8]
CuRuRh2: relaxed, PBE.

extended XYZ file:
```
4
Lattice="8.7370 -0.0144 -0.0084 8.3170 2.6763 -0.0084 8.3170 1.2982 2.3404" Properties=species:S:1:pos:R:3 pbc="T T T"
Ru 6.3428 0.9900 0.5809
Cu 19.0283 2.9701 1.7426
Rh 25.3702 3.9600 2.3234
Rh 12.6864 1.9802 1.1618
```

Computed properties:
For the energy of formation from the pure elements, the calculation gives 0.07 eV/atom. The density of states at the Fermi level is 6.992 states/eV/f.u. The calculation puts the excess energy over the best structure of this formula in the dataset at 46.1 meV/atom. The space group is No. 166.